12
Lattice="2.002 -7.664 0.000 2.002 7.664 0.000 0.000 0.000 11.348" Properties=species:S:1:pos:R:3 comment="GGA-PBE RbAgPbSeS2, relaxed" total_energy_ev_per_atom=-3.565 pbc="T T T"
Se 2.002 6.828 8.511
Se 2.002 -6.828 2.837
S 2.002 -1.880 5.154
S 2.002 1.880 10.828
S 2.002 -1.880 0.520
S 2.002 1.880 6.195
Ag 2.002 0.980 8.511
Ag 2.002 -0.980 2.837
Pb 0.000 0.000 5.674
Pb 0.000 0.000 0.000
Rb 2.002 -3.682 8.511
Rb 2.002 3.682 2.837

---

12
Lattice="-6.879 -0.581 -1.666 6.528 -1.735 -2.191 -0.648 -10.393 6.298" Properties=species:S:1:pos:R:3 comment="GGA-PBE RbAgTe2PbS, relaxed" total_energy_ev_per_atom=-3.375 pbc="T T T"
Rb -4.191 -3.424 -0.203
Rb 3.193 -9.284 2.644
Te -5.294 -10.780 4.313
Te 4.020 -6.358 0.812
Te -5.018 -6.351 1.629
Te 4.296 -1.928 -1.872
Pb -0.499 -6.354 1.221
Pb -0.175 -1.158 -1.928
S -0.054 -3.780 -0.365
S -0.944 -8.928 2.806
Ag 5.550 -4.263 -0.584
Ag -6.549 -8.446 3.026

---

12
Lattice="1.967 -8.222 0.000 1.967 8.222 0.000 0.000 0.000 11.767" Properties=species:S:1:pos:R:3 comment="GGA-PBE RbAgTePbS2, relaxed" total_energy_ev_per_atom=-3.476 pbc="T T T"
Rb 1.967 3.861 8.825
Rb 1.967 -3.861 2.942
S 1.967 6.345 0.667
S 1.967 6.345 5.216
S 1.967 -6.345 6.550
S 1.967 -6.345 11.100
Te 1.967 1.185 2.942
Te 1.967 -1.185 8.825
Ag 1.967 -7.313 8.825
Ag 1.967 7.313 2.942
Pb 1.967 0.000 5.883
Pb 1.967 0.000 0.000

---

12
Lattice="2.033 -8.223 0.000 2.033 8.223 0.000 0.000 0.000 11.649" Properties=species:S:1:pos:R:3 comment="GGA-PBE RbAgTePbSe2, relaxed" total_energy_ev_per_atom=-3.297 pbc="T T T"
Te 2.033 -7.083 2.912
Te 2.033 7.083 8.737
Se 2.033 2.040 11.061
Se 2.033 2.040 6.412
Se 2.033 -2.040 0.588
Se 2.033 -2.040 5.237
Rb 2.033 4.290 2.912
Rb 2.033 -4.290 8.737
Ag 2.033 -0.833 2.912
Ag 2.033 0.833 8.737
Pb 0.000 0.000 0.000
Pb 0.000 0.000 5.825

---

12
Lattice="4.018 0.000 0.000 2.009 8.348 0.000 0.000 0.000 12.191" Properties=species:S:1:pos:R:3 comment="GGA-PBE RbAgTe3Pb, relaxed" total_energy_ev_per_atom=-3.136 pbc="T T T"
Pb 0.000 0.000 6.096
Pb 0.000 0.000 0.000
Ag 2.009 1.115 9.144
Ag 4.018 7.233 3.048
Te 2.009 2.366 6.605
Te 2.009 7.465 9.144
Te 4.018 5.982 0.509
Te 4.018 0.883 3.048
Te 4.018 5.982 5.587
Te 2.009 2.366 11.683
Rb 4.018 4.360 9.144
Rb 2.009 3.988 3.048

---

4
Lattice="0.000 3.534 3.534 3.534 0.000 3.534 3.534 3.534 0.000" Properties=species:S:1:pos:R:3 comment="GGA-PBE ReAgPb2, relaxed" total_energy_ev_per_atom=-4.560 pbc="T T T"
Ag 5.301 5.301 5.301
Re 0.000 0.000 0.000
Pb 1.767 1.767 1.767
Pb 3.534 3.534 3.534

---

4
Lattice="-4.229 1.255 1.422 -1.995 3.806 -1.738 -3.619 -0.385 -2.870" Properties=species:S:1:pos:R:3 comment="GGA-PBE Re2AgPb, relaxed" total_energy_ev_per_atom=-6.800 pbc="T T T"
Pb -4.922 2.338 -1.593
Re -7.383 3.507 -2.389
Re 0.000 0.000 0.000
Ag -2.461 1.169 -0.796

---

9
Lattice="5.494 0.000 0.000 -2.747 4.758 0.000 0.000 0.000 8.684" Properties=species:S:1:pos:R:3 comment="GGA-PBE Re3AgPb5, relaxed" total_energy_ev_per_atom=-5.920 pbc="T T T"
Pb 2.747 1.586 6.943
Pb 0.000 3.172 6.943
Pb 0.000 0.000 4.342
Pb 0.000 3.172 1.742
Pb 2.747 1.586 1.742
Re 1.374 2.379 4.342
Re 2.747 0.000 4.342
Re -1.374 2.379 4.342
Ag 0.000 0.000 0.000

---

13
Lattice="7.091 0.000 0.000 -3.545 6.141 0.000 0.000 0.000 7.326" Properties=species:S:1:pos:R:3 comment="GGA-PBE Ag5Pb2S6, relaxed" total_energy_ev_per_atom=-3.685 pbc="T T T"
S 2.451 0.000 5.762
S -2.320 4.018 1.564
S 2.320 4.018 5.762
S 4.640 0.000 1.564
S 1.225 2.123 1.564
S -1.225 2.123 5.762
Ag 1.773 3.070 3.663
Ag 0.000 0.000 1.635
Ag 0.000 0.000 5.691
Ag -1.773 3.070 3.663
Ag 3.545 0.000 3.663
Pb 3.545 2.047 0.000
Pb 0.000 4.094 0.000

---

12
Lattice="5.724 1.465 3.672 -6.369 -2.798 -0.044 4.083 -9.251 -2.674" Properties=species:S:1:pos:R:3 comment="GGA-PBE ScAgPbSeS2, relaxed" total_energy_ev_per_atom=-4.974 pbc="T T T"
S 0.298 -6.196 -0.108
S 2.032 -10.125 -1.243
S 3.141 -4.389 1.062
S 1.406 -0.459 2.198
Sc 2.042 -4.626 -1.337
Sc 0.000 0.000 0.000
Se 5.709 -1.213 2.686
Se -2.271 -9.372 -1.731
Pb -2.351 -4.054 0.209
Pb 5.789 -6.530 0.746
Ag 1.342 -2.753 1.343
Ag 2.097 -7.832 -0.389

---

12
Lattice="2.013 -6.751 0.000 2.013 6.751 0.000 0.000 0.000 10.183" Properties=species:S:1:pos:R:3 comment="GGA-PBE ScAgPbSe2S, relaxed" total_energy_ev_per_atom=-4.868 pbc="T T T"
Se 2.013 -1.888 9.787
Se 2.013 1.888 4.696
Se 2.013 1.888 0.396
Se 2.013 -1.888 5.487
Ag 2.013 -0.470 7.637
Ag 2.013 0.470 2.546
S 2.013 5.677 2.546
S 2.013 -5.677 7.637
Sc 0.000 0.000 0.000
Sc 0.000 0.000 5.091
Pb 2.013 -3.272 2.546
Pb 2.013 3.272 7.637

---

12
Lattice="-2.527 2.415 6.414 1.921 -5.640 -4.227 10.164 0.641 3.763" Properties=species:S:1:pos:R:3 comment="GGA-PBE ScAgTePbS2, relaxed" total_energy_ev_per_atom=-4.816 pbc="T T T"
Te 1.743 -0.556 3.218
Te 7.814 -2.028 2.733
Sc -0.303 -1.613 1.094
Sc 4.779 -1.292 2.975
S 11.013 -4.072 0.605
S -1.456 1.488 5.345
S 2.545 1.740 6.826
S 7.012 -4.324 -0.876
Pb 3.166 -3.134 -0.188
Pb 6.391 0.550 6.138
Ag 0.138 2.349 7.057
Ag 9.419 -4.933 -1.106

---

12
Lattice="-3.792 3.128 -5.206 0.567 -1.181 7.039 5.849 8.751 0.997" Properties=species:S:1:pos:R:3 comment="GGA-PBE SmAgPbSe2S, relaxed" total_energy_ev_per_atom=-4.712 pbc="T T T"
Sm 0.000 0.000 0.000
Sm 2.925 4.375 0.498
S -1.962 4.952 -3.926
S 4.587 5.745 6.756
Pb 0.922 2.102 4.176
Pb 1.703 8.595 -1.346
Se -1.925 2.097 -0.827
Se 2.281 5.206 3.270
Se 0.344 5.491 -0.440
Se 4.550 8.600 3.657
Ag 2.892 7.420 1.994
Ag -0.267 3.277 0.835

---

12
Lattice="-1.139 6.875 1.190 -1.863 -6.635 1.576 7.379 -0.166 8.024" Properties=species:S:1:pos:R:3 comment="GGA-PBE SmAgPbSeS2, relaxed" total_energy_ev_per_atom=-4.822 pbc="T T T"
Se 3.960 -1.355 7.439
Se 0.416 1.429 3.350
Ag 0.685 6.453 3.207
Ag 3.691 -6.379 7.583
S -0.775 5.028 1.746
S 2.388 -4.892 6.039
S 5.151 -4.954 9.043
S 1.988 4.966 4.751
Pb 4.199 3.108 7.312
Pb 0.177 -3.034 3.478
Sm -1.501 0.120 1.383
Sm 2.188 0.037 5.395

---

12
Lattice="2.081 -6.837 0.000 2.081 6.837 0.000 0.000 0.000 10.435" Properties=species:S:1:pos:R:3 comment="GGA-PBE TbAgPbSe2S, relaxed" total_energy_ev_per_atom=-4.700 pbc="T T T"
S 2.081 1.140 7.827
S 2.081 -1.140 2.609
Tb 2.081 0.000 0.000
Tb 2.081 0.000 5.218
Ag 2.081 6.460 7.827
Ag 2.081 -6.460 2.609
Se 2.081 4.852 9.893
Se 2.081 -4.852 0.543
Se 2.081 4.852 5.761
Se 2.081 -4.852 4.675
Pb 2.081 3.487 2.609
Pb 2.081 -3.487 7.827

---

12
Lattice="-6.050 -1.371 2.906 3.466 0.220 -5.904 3.138 -10.791 1.441" Properties=species:S:1:pos:R:3 comment="GGA-PBE TlAgPbSeS2, relaxed" total_energy_ev_per_atom=-3.581 pbc="T T T"
Tl -0.952 -9.006 1.445
Tl 1.506 -2.937 -3.003
S 1.763 -6.141 -1.994
S -1.209 -5.801 0.436
S 3.099 -10.739 -1.380
S -2.545 -1.204 -0.178
Ag 2.139 -8.489 -1.417
Ag -1.585 -3.454 -0.142
Pb 0.000 0.000 0.000
Pb 1.569 -5.396 0.720
Se 5.428 -7.939 -4.461
Se -4.874 -4.003 2.903

---

12
Lattice="2.004 -6.709 0.000 2.004 6.709 0.000 0.000 0.000 10.658" Properties=species:S:1:pos:R:3 comment="GGA-PBE TmAgPbSeS2, relaxed" total_energy_ev_per_atom=-4.767 pbc="T T T"
S 2.004 1.800 4.792
S 2.004 -1.800 10.121
S 2.004 -1.800 5.866
S 2.004 1.800 0.537
Tm 0.000 0.000 0.000
Tm 0.000 0.000 5.329
Ag 2.004 0.522 2.664
Ag 2.004 -0.522 7.993
Pb 2.004 3.527 7.993
Pb 2.004 -3.527 2.664
Se 2.004 -5.450 7.993
Se 2.004 5.450 2.664

---

12
Lattice="7.560 0.000 0.000 0.000 4.072 0.000 -2.641 0.000 9.519" Properties=species:S:1:pos:R:3 comment="GGA-PBE SmAgPbS3, relaxed" polymorph_energy_kcal_per_mol_atoms=0.44 pbc="T T T"
S 1.612 3.054 6.069
S 2.117 3.054 0.477
S 3.307 1.018 3.450
S -0.576 1.018 3.083
S 2.802 1.018 9.042
S 5.495 3.054 6.437
Ag 4.338 3.054 8.683
Ag 0.581 1.018 0.836
Sm 1.307 3.054 3.308
Sm 3.612 1.018 6.212
Pb 4.896 3.054 1.843
Pb 0.023 1.018 7.676

---

24
Lattice="-0.746 1.223 8.115 -2.674 -3.236 0.242 12.428 -10.072 2.661" Properties=species:S:1:pos:R:3 comment="GGA-PBE SmAgPbS3, relaxed" polymorph_energy_kcal_per_mol_atoms=0.32 pbc="T T T"
S 8.530 -7.759 8.792
S -1.955 -1.920 7.532
S 5.801 -5.673 6.518
S 10.962 -10.166 3.485
S 0.089 -1.136 4.060
S 3.207 -6.412 4.499
S 8.919 -10.950 6.957
S 0.478 -4.327 2.225
S 3.723 -3.773 8.975
S 5.285 -8.313 2.042
S 1.079 -4.505 6.491
S 7.929 -7.581 4.526
Pb 6.657 -9.084 6.907
Pb 1.539 -2.035 8.073
Pb 2.351 -3.002 4.110
Pb 7.468 -10.050 2.944
Sm -1.717 -2.515 2.199
Sm 5.814 -5.900 3.629
Sm 10.724 -9.571 8.818
Sm 3.194 -6.186 7.388
Ag -0.822 -3.003 5.575
Ag 2.471 -5.980 2.142
Ag 9.830 -9.083 5.442
Ag 6.537 -6.106 8.875

---

24
Lattice="10.636 0.000 0.000 0.000 4.092 0.000 0.000 0.000 13.208" Properties=species:S:1:pos:R:3 comment="GGA-PBE SmAgPbS3, relaxed" polymorph_energy_kcal_per_mol_atoms=0.30 pbc="T T T"
S 5.696 1.023 1.512
S 2.807 1.023 8.717
S 6.201 3.069 7.983
S 9.754 1.023 1.379
S 0.882 3.069 11.829
S 0.378 1.023 5.092
S 2.511 3.069 2.113
S 4.940 3.069 11.696
S 4.436 1.023 5.225
S 10.258 3.069 8.116
S 8.125 1.023 11.095
S 7.829 3.069 4.491
Ag 8.157 3.069 9.525
Ag 2.479 1.023 3.683
Ag 2.839 3.069 10.287
Ag 7.798 1.023 2.921
Pb 8.389 1.023 6.587
Pb 3.071 1.023 0.017
Pb 7.565 3.069 13.191
Pb 2.247 3.069 6.621
Sm 10.425 3.069 3.134
Sm 5.529 1.023 9.738
Sm 0.211 1.023 10.074
Sm 5.107 3.069 3.470